# 1
{"formula": "KHfGa", "functional": "GGA-PBE", "state": "relaxed", "lattice": [[3.2554, 0.0000, 0.0000], [0.0017, 3.2554, 0.0000], [0.0222, 0.1728, 15.8031]], "species": ["K", "K", "Hf", "Hf", "Ga", "Ga"], "fractional_positions": [[0.2471, 0.2301, 0.3653], [0.7529, 0.7699, 0.6347], [0.2511, 0.2586, 0.8401], [0.7489, 0.7414, 0.1599], [0.2497, 0.2475, 0.0482], [0.7503, 0.7525, 0.9518]], "magmom_total_mub_per_cell": 0.0, "e_form_ev_per_atom": 0.302, "e_above_lowest_polymorph_ev_per_atom": 0.381, "e_tot_ev_per_atom": -4.391}

***

# 2
{"formula": "NaTl2Pd2", "functional": "GGA-PBE", "state": "relaxed", "lattice": [[5.9035, 0.0000, 0.0000], [0.0000, 4.7421, 0.0000], [0.0000, 0.0000, 7.7228]], "species": ["Na", "Na", "Tl", "Tl", "Tl", "Tl", "Pd", "Pd", "Pd", "Pd"], "fractional_positions": [[0.0000, 0.0000, 0.0000], [0.5000, 0.0000, 0.0000], [0.2500, 0.0000, 0.3898], [0.2500, 0.5000, 0.8042], [0.7500, 0.0000, 0.6102], [0.7500, 0.5000, 0.1958], [0.0000, 0.5000, 0.5000], [0.2500, 0.5000, 0.1663], [0.5000, 0.5000, 0.5000], [0.7500, 0.5000, 0.8337]], "magmom_total_mub_per_cell": 0.0, "e_form_ev_per_atom": -0.171, "e_above_lowest_polymorph_ev_per_atom": 0.028, "e_tot_ev_per_atom": -3.458}

***

# 3
{"formula": "Rb4NaCe3S8", "functional": "GGA-PBE", "state": "relaxed", "lattice": [[4.2148, 2.4334, 7.6047], [-4.2148, 2.4334, 7.6047], [0.0000, -4.8668, 7.6047]], "species": ["Rb", "Rb", "Rb", "Rb", "Na", "Ce", "Ce", "Ce", "S", "S", "S", "S", "S", "S", "S", "S"], "fractional_positions": [[0.0000, 0.0000, 0.0000], [0.0000, 0.5000, 0.5000], [0.5000, 0.0000, 0.5000], [0.5000, 0.5000, 0.0000], [0.5000, 0.5000, 0.5000], [0.0000, 0.0000, 0.5000], [0.0000, 0.5000, 0.0000], [0.5000, 0.0000, 0.0000], [0.2099, 0.7405, 0.7405], [0.2317, 0.2317, 0.2317], [0.2595, 0.2595, 0.7901], [0.2595, 0.7901, 0.2595], [0.7405, 0.2099, 0.7405], [0.7405, 0.7405, 0.2099], [0.7683, 0.7683, 0.7683], [0.7901, 0.2595, 0.2595]], "magmom_total_mub_per_cell": 1.1, "raw_formation_energy_ev_per_atom": -1.62, "e_tot_ev_per_atom": -5.124}

***

# 4
{"formula": "Pr4Sm2Er", "functional": "GGA-PBE", "state": "relaxed", "lattice": [[3.1086, -6.5937, 0.0000], [3.1086, 6.5937, 0.0000], [0.0000, 0.0000, 6.0662]], "species": ["Pr", "Pr", "Pr", "Pr", "Sm", "Sm", "Er"], "fractional_positions": [[0.1368, 0.8632, 0.0000], [0.3097, 0.6903, 0.5000], [0.6903, 0.3097, 0.5000], [0.8632, 0.1368, 0.0000], [0.3899, 0.6101, 0.0000], [0.6101, 0.3899, 0.0000], [0.0000, 0.0000, 0.5000]], "magmom_total_mub_per_cell": 0.0, "e_form_ev_per_atom": 0.431, "e_above_lowest_polymorph_ev_per_atom": 0.370, "e_tot_ev_per_atom": -4.300}

***

# 5
{"formula": "SmMnCl6", "functional": "GGA-PBE", "state": "relaxed", "lattice": [[6.3746, 0.0000, 0.0000], [2.8753, 5.7008, 0.0000], [0.0296, 3.5571, 5.8739]], "species": ["Sm", "Mn", "Cl", "Cl", "Cl", "Cl", "Cl", "Cl"], "fractional_positions": [[0.0000, 0.0000, 0.0000], [0.5000, 0.0000, 0.5000], [0.1103, 0.4824, 0.2559], [0.2774, 0.8386, 0.7310], [0.4211, 0.8566, 0.2697], [0.5789, 0.1434, 0.7303], [0.7226, 0.1614, 0.2690], [0.8897, 0.5176, 0.7441]], "magmom_total_mub_per_cell": 4.0, "raw_formation_energy_ev_per_atom": -1.52, "e_tot_ev_per_atom": -4.644}

***

# 6
{"formula": "Ce3Ge2Cl2", "functional": "GGA-PBE", "state": "relaxed", "lattice": [[7.0091, -2.1149, 0.0000], [7.0091, 2.1149, 0.0000], [-1.9807, 0.0000, 7.3096]], "species": ["Ce", "Ce", "Ce", "Ge", "Ge", "Cl", "Cl"], "fractional_positions": [[0.0000, 0.0000, 0.0000], [0.2318, 0.2318, 0.7608], [0.7682, 0.7682, 0.2392], [0.3809, 0.3809, 0.1117], [0.6191, 0.6191, 0.8883], [0.1492, 0.1492, 0.3559], [0.8508, 0.8508, 0.6441]], "magmom_total_mub_per_cell": 2.0, "raw_formation_energy_ev_per_atom": -1.10, "e_tot_ev_per_atom": -5.488}

***

# 7
{"formula": "Ac3Zn2AsPd9", "functional": "GGA-PBE", "state": "relaxed", "lattice": [[6.2817, 0.0000, 0.0000], [-3.1409, 5.4401, 0.0000], [0.0000, 0.0000, 9.7930]], "species": ["Ac", "Ac", "Ac", "Zn", "Zn", "As", "Pd", "Pd", "Pd", "Pd", "Pd", "Pd", "Pd", "Pd", "Pd"], "fractional_positions": [[0.0000, 0.0000, 0.0000], [0.3333, 0.6667, 0.6919], [0.6667, 0.3333, 0.3081], [0.3333, 0.6667, 0.1765], [0.6667, 0.3333, 0.8235], [0.0000, 0.0000, 0.5000], [0.0000, 0.5000, 0.0000], [0.1879, 0.3758, 0.3775], [0.1879, 0.8121, 0.3775], [0.3758, 0.1879, 0.6225], [0.5000, 0.0000, 0.0000], [0.5000, 0.5000, 0.0000], [0.6242, 0.8121, 0.3775], [0.8121, 0.1879, 0.6225], [0.8121, 0.6242, 0.6225]], "magmom_total_mub_per_cell": 0.0, "e_form_ev_per_atom": -0.609, "e_tot_ev_per_atom": -5.026}

***

# 8
{"formula": "TcSbPb2", "functional": "GGA-PBE", "state": "relaxed", "lattice": [[3.3915, 0.0000, 0.0000], [0.0000, 3.3915, 0.0000], [0.0000, 0.0000, 8.4100]], "species": ["Tc", "Sb", "Pb", "Pb"], "fractional_positions": [[0.0000, 0.0000, 0.0000], [0.0000, 0.0000, 0.5000], [0.5000, 0.5000, 0.1991], [0.5000, 0.5000, 0.8009]], "magmom_total_mub_per_cell": 0.0, "raw_formation_energy_ev_per_atom": 0.51, "e_tot_ev_per_atom": -4.965}